First-principles (PBE-GGA) data for crystalline Rb2Na5Pb12 at its relaxed geometry, as listed in Alexandria.

The space group is No. 166. Its formation energy is -0.121 eV per atom. The calculation puts the total moment at 0.000 μB per formula unit. As for the density of states at the Fermi level: 0.480 states/eV/atom. The total DFT energy (no corrections) comes out at -2.912 eV/atom.

POSCAR file:
```
Rb2Na5Pb12
1.0
8.6263 0.2982 1.0493
0.9647 8.5774 1.0493
0.3223 0.2982 8.6839
Pb Na Rb
12 5 2
direct
0.6520 0.1598 0.6520 Pb
0.3480 0.8402 0.3480 Pb
0.7055 0.2945 0.0000 Pb
0.0000 0.2945 0.7055 Pb
0.3480 0.3480 0.8402 Pb
0.7055 0.0000 0.2945 Pb
0.2945 0.0000 0.7055 Pb
0.6520 0.6520 0.1598 Pb
0.2945 0.7055 0.0000 Pb
0.1598 0.6520 0.6520 Pb
0.0000 0.7055 0.2945 Pb
0.8402 0.3480 0.3480 Pb
0.0000 0.0000 0.5000 Na
0.5000 0.0000 0.0000 Na
0.9047 0.9047 0.9047 Na
0.0000 0.5000 0.0000 Na
0.0953 0.0953 0.0953 Na
0.3490 0.3490 0.3490 Rb
0.6510 0.6510 0.6510 Rb
```